No. 1
# BeSiBO2 | Alexandria | PBE | optimized geometry
data_BeSiBO2
_chemical_formula_sum 'Be1 Si1 B1 O2'
_space_group_name_H-M_alt 'P 4/m m m'
_space_group_IT_number 123
_space_group_name_Hall '-P 4 2'
_cell_length_a 3.2877
_cell_length_b 3.2877
_cell_length_c 5.1128
_cell_angle_alpha 90.00
_cell_angle_beta 90.00
_cell_angle_gamma 90.00
loop_
_atom_site_label
_atom_site_fract_x
_atom_site_fract_y
_atom_site_fract_z
Be1 0.0000 0.0000 0.0000
Si1 0.5000 0.5000 0.5000
B1 0.5000 0.5000 0.0000
O1 0.0000 0.5000 0.5000
# * D(E_F): 2.84 states/eV/f.u.
# * theoretical density: 2.4 g/cm³
# * total energy: -26.7 eV/cell
# * total magnetic moment: 0.094 μB/atom

=====

No. 2
# Ac5SbTe4 | Alexandria | PBE | optimized geometry
data_Ac5SbTe4
_chemical_formula_sum 'Ac10 Sb2 Te8'
_space_group_name_H-M_alt 'I m m m'
_space_group_IT_number 71
_space_group_name_Hall '-I 2 2'
_cell_length_a 4.7594
_cell_length_b 6.6980
_cell_length_c 23.7019
_cell_angle_alpha 90.00
_cell_angle_beta 90.00
_cell_angle_gamma 90.00
loop_
_atom_site_label
_atom_site_fract_x
_atom_site_fract_y
_atom_site_fract_z
Ac1 0.0000 0.0000 0.0000
Ac2 0.0000 0.0000 0.2004
Ac3 0.0000 0.0000 0.4023
Sb1 0.0000 0.5000 0.0000
Te1 0.0000 0.5000 0.1996
Te2 0.0000 0.5000 0.3994
# * D(E_F): 5.10 states/eV/f.u.
# * energy above the most stable polymorph in this dataset: 0.02 eV/f.u.
# * theoretical density: 7.8 g/cm³
# * total magnetic moment: 0.000 μB/atom

=====

Copy entry 2 word for word.
# Ac5SbTe4 | Alexandria | PBE | optimized geometry
data_Ac5SbTe4
_chemical_formula_sum 'Ac10 Sb2 Te8'
_space_group_name_H-M_alt 'I m m m'
_space_group_IT_number 71
_space_group_name_Hall '-I 2 2'
_cell_length_a 4.7594
_cell_length_b 6.6980
_cell_length_c 23.7019
_cell_angle_alpha 90.00
_cell_angle_beta 90.00
_cell_angle_gamma 90.00
loop_
_atom_site_label
_atom_site_fract_x
_atom_site_fract_y
_atom_site_fract_z
Ac1 0.0000 0.0000 0.0000
Ac2 0.0000 0.0000 0.2004
Ac3 0.0000 0.0000 0.4023
Sb1 0.0000 0.5000 0.0000
Te1 0.0000 0.5000 0.1996
Te2 0.0000 0.5000 0.3994
# * D(E_F): 5.10 states/eV/f.u.
# * energy above the most stable polymorph in this dataset: 0.02 eV/f.u.
# * theoretical density: 7.8 g/cm³
# * total magnetic moment: 0.000 μB/atom